Compound: Ta3TiIr4
Source: Alexandria
Functional: GGA-PBE
Structure: relaxed

Formation energy in eV per atom: -0.6568
E in eV/atom: -10.52
D(E_F) in states/eV/f.u.: 5.73

Geometry as extended XYZ:
```
8
Lattice="2.906 0.000 0.000 0.000 2.906 0.000 0.000 0.000 15.017" Properties=species:S:1:pos:R:3 pbc="T T T"
Ta 0.000 0.000 0.000
Ta 0.000 0.000 3.842
Ta 0.000 0.000 11.175
Ti 0.000 0.000 7.508
Ir 1.453 1.453 1.910
Ir 1.453 1.453 5.814
Ir 1.453 1.453 9.203
Ir 1.453 1.453 13.107
```